Compound: AlNiSe3
Source: Alexandria
Functional: PBE-GGA
Structure: optimized geometry

a b c (Å): 4.724 4.724 4.724
angles (deg): 90.00 90.00 90.00
Fractional positions:
Al  0.000  0.000  0.000
Ni  0.500  0.500  0.500
Se  0.000  0.500  0.500
Se  0.500  0.000  0.500
Se  0.500  0.500  0.000

Results
* ΔE_f (raw): 0.296 eV per atom
* space-group type: Pm-3m
* offset from the most stable computed form: 0 meV/atom